Computed, not measured: a relaxed La2Pm2DyHo crystal at the PBE level of DFT.

Total moment, μB per cell: 0.0
Space-group type: Pmma
Uncorrected energy, hartree per atom: -0.173

```
12
Lattice="5.7505 0.0000 0.0000 0.0000 7.1213 0.0000 0.0000 0.0000 9.9650" Properties=species:S:1:pos:R:3 pbc="T T T"
Dy 2.8753 5.3952 3.4170
La 2.8753 0.0542 9.9642
Dy 2.8753 1.8345 6.5480
Pm 2.8753 5.3948 6.6541
La 2.8753 3.6148 0.0007
Pm 2.8753 1.8341 3.3109
Ho 0.0000 3.6148 4.9820
Pm 0.0000 1.8349 8.3138
La 0.0000 5.3948 8.2037
La 0.0000 1.8341 1.7612
Ho 0.0000 0.0542 4.9829
Pm 0.0000 5.3955 1.6511
```